1.
The following is a DFT calculation (GGA-PBE) of crystalline Ca6Hg5As at its relaxed geometry.

Cell: 5.320 9.243 9.243 Å, 120.49 106.71 106.71°
Element x y z (fractional)
As 0.000 0.000 0.000
Ca 0.243 0.082 0.404
Ca 0.757 0.596 0.918
Ca 0.739 0.239 0.239
Ca 0.261 0.761 0.761
Ca 0.243 0.404 0.082
Ca 0.757 0.918 0.596
Hg 0.500 0.180 0.820
Hg 0.000 0.334 0.666
Hg 0.500 0.500 0.500
Hg 0.000 0.666 0.334
Hg 0.500 0.820 0.180

space-group type = Immm, No. 71
ΔE_f = -0.646 eV per atom
magnetic moment = 0.0 μB/f.u.



2.
The following is a DFT calculation (GGA-PBE) of crystalline CaHgAs4 at its relaxed geometry.

Cell: 5.760 5.760 5.760 Å, 60.00 60.00 60.00°
Element x y z (fractional)
Ca 0.750 0.750 0.750
Hg 0.000 0.000 0.000
As 0.887 0.371 0.371
As 0.371 0.371 0.887
As 0.371 0.887 0.371
As 0.371 0.371 0.371

space-group type = F-43m, No. 216
ΔE_f = -0.150 eV per atom
magnetic moment = 0.0 μB/f.u.



3.
The following is a DFT calculation (GGA-PBE) of crystalline Ca2HgAs at its relaxed geometry.

Cell: 5.994 5.994 4.423 Å, 90.00 90.00 42.33°
Element x y z (fractional)
As 0.286 0.286 0.125
Ca 0.011 0.011 0.125
Ca 0.741 0.741 0.625
Hg 0.463 0.463 0.625

space-group type = Amm2, No. 38
excess energy over the best structure of this formula in the dataset = 0.000 eV/atom
ΔE_f = -0.841 eV per atom
magnetic moment = 0.0 μB/f.u.



4.
The following is a DFT calculation (GGA-PBE) of crystalline Ca2HgAs at its relaxed geometry.

Cell: 4.391 4.391 6.060 Å, 90.00 90.00 90.00°
Element x y z (fractional)
As 0.500 0.500 0.875
Ca 0.000 0.000 0.875
Ca 0.500 0.500 0.375
Hg 0.000 0.000 0.375

space-group type = P4mm, No. 99
excess energy over the best structure of this formula in the dataset = 0.203 eV/atom
ΔE_f = -0.638 eV per atom
magnetic moment = 0.0 μB/f.u.